w:
Material: Li3NbV2O6
Method: DFT, PBE+U
State: optimized geometry

Computed properties:
The space group is P-1, No. 2. As for the density of states at the Fermi level: 0.06 states/eV/atom.

a b c (Å): 6.0308 6.7521 6.8532
angles (deg): 83.10 116.03 77.05
Closest atoms and distances in Å follow each position.
Fractional positions:
Li (0.7463, 0.9994, 0.4878)  6 O 2.18-2.24
Li (0.2409, 0.9882, 0.4809)  6 O 2.09-2.35
Li (0.7501, 0.3333, 0.1665)  6 O 2.08-2.23
Li (0.2498, 0.3333, 0.1668)  6 O 2.08-2.23
Li (0.7539, 0.6674, 0.8454)  6 O 2.19-2.23
Li (0.2594, 0.6784, 0.8523)  5 O 2.09-2.32
O (0.3795, 0.3438, 0.9312)  3 Li 2.08-2.13, 2 Nb 2.13, 1 V 2.15
O (0.3825, 0.6537, 0.5771)  1 Nb 2.05, 2 V 2.12-2.16, 2 Li 2.13-2.22
O (0.6234, 0.6772, 0.0965)  3 V 2.02-2.11, 3 Li 2.09-2.20
O (0.8766, 0.9895, 0.2368)  3 V 2.02-2.11, 3 Li 2.09-2.20
O (0.6323, 0.0127, 0.7566)  1 Nb 2.05, 2 V 2.11-2.15, 2 Li 2.20-2.24
O (0.1175, 0.0130, 0.7562)  1 Nb 2.05, 2 V 2.12-2.16, 2 Li 2.13-2.22
O (0.8700, 0.3243, 0.9027)  1 V 2.07, 2 Nb 2.20, 3 Li 2.20-2.23
O (0.1328, 0.6784, 0.0936)  3 V 2.05-2.12, 3 Li 2.10-2.20
O (0.6299, 0.3424, 0.4307)  1 V 2.07, 2 Nb 2.20, 3 Li 2.20-2.23
O (0.8676, 0.6540, 0.5767)  1 Nb 2.05, 2 V 2.11-2.15, 2 Li 2.20-2.23
O (0.1204, 0.3229, 0.4022)  3 Li 2.08-2.13, 2 Nb 2.13, 1 V 2.15
O (0.3672, 0.9882, 0.2397)  3 V 2.05-2.12, 3 Li 2.10-2.20
V (0.4984, 0.0071, 0.0001)  6 O 2.10-2.16
V (0.0016, 0.6596, 0.3333)  6 O 2.10-2.16
V (0.0025, 0.0002, 0.0074)  6 O 2.02-2.12
V (0.4974, 0.6664, 0.3259)  6 O 2.02-2.12
Nb (0.4751, 0.3328, 0.6668)  6 O 2.05-2.20
Nb (0.0249, 0.3339, 0.6666)  6 O 2.05-2.20

---

x:
Material: Li3NbV2O6
Method: DFT, PBE+U
State: optimized geometry

Computed properties:
The space group is C2/m, No. 12. As for the density of states at the Fermi level: 0.18 states/eV/atom.

a b c (Å): 2.9156 6.1662 6.8644
angles (deg): 103.73 102.26 90.00
Closest atoms and distances in Å follow each position.
Fractional positions:
O (0.6595, 0.0853, 0.3190)  1 Nb 2.08, 2 V 2.11, 3 Li 2.22-2.24
O (0.0006, 0.7439, 0.0012)  3 Li 2.09-2.20, 1 V 2.15, 2 Nb 2.15
O (0.3405, 0.9147, 0.6810)  1 Nb 2.08, 2 V 2.11, 3 Li 2.22-2.24
O (0.6736, 0.5734, 0.3472)  3 V 2.05-2.11, 3 Li 2.10-2.26
O (0.9994, 0.2561, 0.9988)  3 Li 2.09-2.20, 1 V 2.15, 2 Nb 2.15
O (0.3264, 0.4266, 0.6528)  3 V 2.05-2.11, 3 Li 2.10-2.26
Li (0.5000, 0.5000, 0.0000)  6 O 2.09-2.26
Li (0.1698, 0.8157, 0.3396)  6 O 2.10-2.24
Li (0.8302, 0.1843, 0.6604)  6 O 2.10-2.24
V (0.1646, 0.3346, 0.3291)  6 O 2.05-2.15
V (0.8354, 0.6654, 0.6709)  6 O 2.05-2.15
Nb (0.5000, 0.0000, 0.0000)  6 O 2.08-2.15

---

Energies relative to the minimum, eV/atom: w 0.000; x 0.018

---

w:
Material: Li2NbV3O8
Method: DFT, PBE+U
State: optimized geometry

Computed properties:
The space group is R-3m, No. 166.

a b c (Å): 6.0577 6.0577 6.0939
angles (deg): 60.20 60.20 60.00
Closest atoms and distances in Å follow each position.
Fractional positions:
O (0.2642, 0.7196, 0.7519)  1 Li 2.02, 1 Nb 2.03, 2 V 2.08
O (0.7358, 0.7358, 0.2481)  1 Li 2.02, 1 Nb 2.03, 2 V 2.08
O (0.2649, 0.2649, 0.2052)  3 V 2.03, 1 Li 2.04
O (0.2642, 0.2642, 0.7519)  1 Li 2.02, 1 Nb 2.03, 2 V 2.08
O (0.7358, 0.2804, 0.2481)  1 Li 2.02, 1 Nb 2.03, 2 V 2.08
O (0.7351, 0.7351, 0.7948)  3 V 2.03, 1 Li 2.04
O (0.2804, 0.7358, 0.2481)  1 Li 2.02, 1 Nb 2.03, 2 V 2.08
O (0.7196, 0.2642, 0.7519)  1 Li 2.02, 1 Nb 2.03, 2 V 2.08
Li (0.8714, 0.8714, 0.3857)  4 O 2.02-2.04
Li (0.1286, 0.1286, 0.6143)  4 O 2.02-2.04
V (0.5000, 0.5000, 0.0000)  6 O 2.03-2.08
V (0.5000, 0.0000, 0.0000)  6 O 2.03-2.08
V (0.0000, 0.5000, 0.0000)  6 O 2.03-2.08
Nb (0.5000, 0.5000, 0.5000)  6 O 2.03

---

x:
Material: Li2NbV3O8
Method: DFT, PBE+U
State: optimized geometry

Computed properties:
The space group is Cm, No. 8. As for the density of states at the Fermi level: 0.16 states/eV/atom.

a b c (Å): 6.4837 6.4837 6.7226
angles (deg): 73.43 73.43 36.91
Closest atoms and distances in Å follow each position.
Fractional positions:
O (0.4394, 0.4394, 0.3677)  3 V 2.00-2.15, 2 Li 2.06
O (0.7710, 0.7710, 0.3445)  3 V 2.07-2.11, 1 Li 2.07
O (0.3534, 0.3534, 0.9941)  2 V 1.80-1.87
O (0.5642, 0.5642, 0.6443)  1 Nb 1.98, 2 V 2.06-2.14, 2 Li 2.06
O (0.1212, 0.1212, 0.3278)  2 Li 1.98-2.20, 3 V 2.06
O (0.2224, 0.2224, 0.6682)  2 Nb 2.08, 1 Li 2.14, 1 V 2.15
O (0.6501, 0.6501, 0.9976)  1 Nb 1.79
O (0.8814, 0.8814, 0.6680)  1 Nb 2.06, 2 Li 2.07-2.08, 2 V 2.07
V (0.3903, 0.3903, 0.7034)  4 O 1.87-2.07
V (0.2954, 0.2954, 0.2732)  1 O 1.80
V (0.6088, 0.6088, 0.3117)  6 O 2.00-2.14
Li (0.0549, 0.0549, 0.6354)  5 O 1.98-2.14
Li (0.9394, 0.9394, 0.3451)  5 O 2.06-2.20
Nb (0.7080, 0.7080, 0.7189)  2 O 1.79-1.98

---

y:
Material: Li2NbV3O8
Method: DFT, PBE+U
State: optimized geometry

Computed properties:
The space group is P6_3mc, No. 186.

a b c (Å): 6.0054 6.0054 9.7730
angles (deg): 90.00 90.00 120.00
Closest atoms and distances in Å follow each position.
Fractional positions:
O (0.0374, 0.5187, 0.3439)  1 Li 2.01, 2 V 2.05, 1 Nb 2.10
O (0.1678, 0.3355, 0.5918)  1 Nb 1.99, 1 Li 1.99, 2 V 2.13
O (0.9626, 0.4813, 0.8439)  1 Li 2.01, 2 V 2.05, 1 Nb 2.10
O (0.0000, 0.0000, 0.8087)  1 Li 1.80, 3 V 1.99
O (0.0000, 0.0000, 0.3087)  1 Li 1.80, 3 V 1.99
O (0.1678, 0.8322, 0.5918)  1 Nb 1.99, 1 Li 1.99, 2 V 2.13
O (0.6645, 0.8322, 0.5918)  1 Nb 1.99, 1 Li 1.99, 2 V 2.13
O (0.5187, 0.0374, 0.8439)  1 Li 2.01, 2 V 2.05, 1 Nb 2.10
O (0.8322, 0.6645, 0.0918)  1 Nb 1.99, 1 Li 1.99, 2 V 2.13
O (0.3333, 0.6667, 0.1078)  3 V 1.99, 1 Li 2.01
O (0.4813, 0.5187, 0.3439)  1 Li 2.01, 2 V 2.05, 1 Nb 2.10
O (0.5187, 0.4813, 0.8439)  1 Li 2.01, 2 V 2.05, 1 Nb 2.10
O (0.8322, 0.1678, 0.0918)  1 Nb 1.99, 1 Li 1.99, 2 V 2.13
O (0.3355, 0.1678, 0.0918)  1 Nb 1.99, 1 Li 1.99, 2 V 2.13
O (0.6667, 0.3333, 0.6078)  3 V 1.99, 1 Li 2.01
O (0.4813, 0.9626, 0.3439)  1 Li 2.01, 2 V 2.05, 1 Nb 2.10
V (0.1704, 0.3407, 0.2150)  6 O 1.99-2.13
V (0.6593, 0.8296, 0.2150)  6 O 1.99-2.13
V (0.8296, 0.6593, 0.7150)  6 O 1.99-2.13
V (0.3407, 0.1704, 0.7150)  6 O 1.99-2.13
V (0.8296, 0.1704, 0.7150)  6 O 1.99-2.13
V (0.1704, 0.8296, 0.2150)  6 O 1.99-2.13
Li (0.6667, 0.3333, 0.4017)  4 O 2.01
Li (0.3333, 0.6667, 0.9017)  4 O 2.01
Li (0.0000, 0.0000, 0.4932)  4 O 1.80-1.99
Li (0.0000, 0.0000, 0.9932)  4 O 1.80-1.99
Nb (0.6667, 0.3333, 0.9904)  6 O 1.99-2.10
Nb (0.3333, 0.6667, 0.4904)  6 O 1.99-2.10

---

Energies relative to the minimum, eV/atom: w 0.007; x 0.089; y 0.000

---

w:
Material: LiNbWO6
Method: DFT, PBE+U
State: optimized geometry

Computed properties:
The space group is R3, No. 146. As for the density of states at the Fermi level: 0.00 states/eV/atom.

a b c (Å): 5.5169 5.5169 5.5169
angles (deg): 57.05 57.05 57.05
Closest atoms and distances in Å follow each position.
Fractional positions:
O (0.2368, 0.6730, 0.8413)  1 Nb 1.90, 1 W 2.03
O (0.6730, 0.8413, 0.2368)  1 Nb 1.90, 1 W 2.03
O (0.1279, 0.7574, 0.3650)  1 W 1.88
O (0.7574, 0.3650, 0.1279)  1 W 1.88
O (0.3650, 0.1279, 0.7574)  1 W 1.88
O (0.8413, 0.2368, 0.6730)  1 Nb 1.90, 1 W 2.03
Li (0.7966, 0.7966, 0.7966)  6 O 2.11-2.26
Nb (0.5147, 0.5147, 0.5147)  3 O 1.90
W (0.0142, 0.0142, 0.0142)  6 O 1.88-2.03

---

x:
Material: LiNbWO6
Method: DFT, PBE+U
State: optimized geometry

Computed properties:
The space group is Imma, No. 74. As for the density of states at the Fermi level: 0.00 states/eV/atom.

a b c (Å): 7.3983 7.3983 7.3983
angles (deg): 120.27 119.72 90.01
Closest atoms and distances in Å follow each position.
Fractional positions:
O (0.9388, 0.0663, 0.2481)  1 W 1.93, 1 Nb 2.00
O (0.0612, 0.9337, 0.7519)  1 W 1.93, 1 Nb 2.00
O (0.3182, 0.6907, 0.2519)  1 W 1.93, 1 Nb 2.00
O (0.3061, 0.0561, 0.2500)  2 W 1.95
O (0.6939, 0.9439, 0.7500)  2 W 1.95
O (0.3182, 0.0663, 0.6276)  1 W 1.93, 1 Nb 2.00
O (0.6818, 0.3093, 0.7481)  1 W 1.93, 1 Nb 2.00
O (0.0751, 0.3251, 0.7500)  2 Nb 2.00
O (0.9249, 0.6749, 0.2500)  2 Nb 2.00
O (0.0612, 0.3093, 0.1276)  1 W 1.93, 1 Nb 2.00
O (0.6818, 0.9337, 0.3724)  1 W 1.93, 1 Nb 2.00
O (0.9388, 0.6907, 0.8724)  1 W 1.93, 1 Nb 2.00
Nb (0.0000, 0.0000, 0.5000)  6 O 2.00
Nb (0.0000, 0.5000, 0.0000)  6 O 2.00
W (0.0000, 0.0000, 0.0000)  6 O 1.93-1.95
W (0.5000, 0.0000, 0.5000)  6 O 1.93-1.95
Li (0.5000, 0.5000, 0.0000)  6 O 2.61-2.67
Li (0.0000, 0.5000, 0.5000)  6 O 2.61-2.67

---

y:
Material: LiNbWO6
Method: DFT, PBE+U
State: optimized geometry

Computed properties:
The space group is P-31c, No. 163. As for the density of states at the Fermi level: 0.00 states/eV/atom.

a b c (Å): 5.2596 5.2596 9.5504
angles (deg): 90.00 90.00 120.00
Closest atoms and distances in Å follow each position.
Fractional positions:
Nb (0.6667, 0.3333, 0.2500)  6 O 2.02
Nb (0.3333, 0.6667, 0.7500)  6 O 2.02
O (0.9908, 0.3620, 0.6377)  1 W 1.96, 1 Nb 2.02
O (0.9908, 0.6288, 0.8623)  1 W 1.96, 1 Nb 2.02
O (0.0092, 0.3712, 0.1377)  1 W 1.96, 1 Nb 2.02
O (0.3712, 0.0092, 0.6377)  1 W 1.96, 1 Nb 2.02
O (0.6288, 0.9908, 0.3623)  1 W 1.96, 1 Nb 2.02
O (0.0092, 0.6380, 0.3623)  1 W 1.96, 1 Nb 2.02
O (0.3619, 0.3712, 0.3623)  1 W 1.96, 1 Nb 2.02
O (0.3712, 0.3620, 0.8623)  1 W 1.96, 1 Nb 2.02
O (0.6381, 0.0092, 0.8623)  1 W 1.96, 1 Nb 2.02
O (0.3619, 0.9908, 0.1377)  1 W 1.96, 1 Nb 2.02
O (0.6288, 0.6380, 0.1377)  1 W 1.96, 1 Nb 2.02
O (0.6381, 0.6288, 0.6377)  1 W 1.96, 1 Nb 2.02
W (0.3333, 0.6667, 0.2500)  6 O 1.96
W (0.6667, 0.3333, 0.7500)  6 O 1.96
Li (0.0000, 0.0000, 0.0000)  6 O 2.33
Li (0.0000, 0.0000, 0.5000)  6 O 2.33

---

Energies relative to the minimum, eV/atom: w 0.000; x 0.087; y 0.077